The following is a DFT calculation (PBE-GGA) of an optimized crystal structure of Ag2TeSe2Cl.

Unit cell a=6.3935 b=6.8297 c=8.6430 alpha=90.00 beta=105.26 gamma=90.00
Last column: nearest neighbours and their distance in Å.
Fractional positions:
Ag1 0.0687 0.0276 0.2251  2 Se 2.58-2.74, 1 Cl 2.61
Ag2 0.0687 0.4724 0.2251  2 Se 2.58-2.74, 1 Cl 2.61
Ag3 0.9313 0.5276 0.7749  2 Se 2.58-2.74, 1 Cl 2.61
Ag4 0.9313 0.9724 0.7749  2 Se 2.58-2.74, 1 Cl 2.61
Te1 0.3985 0.2500 0.6387  2 Se 2.50-2.55
Te2 0.6015 0.7500 0.3613  2 Se 2.50-2.55
Se1 0.0129 0.7500 0.4124  1 Te 2.55, 2 Ag 2.58
Se2 0.4281 0.2500 0.3564  1 Te 2.50, 2 Ag 2.74
Se3 0.5719 0.7500 0.6436  1 Te 2.50, 2 Ag 2.74
Se4 0.9871 0.2500 0.5876  1 Te 2.55, 2 Ag 2.58
Cl1 0.1810 0.7500 0.9917  2 Ag 2.61
Cl2 0.8190 0.2500 0.0083  2 Ag 2.61

E_form (uncorrected): -0.1339 eV per atom
SG: No. 11

=====

The following is a DFT calculation (PBE-GGA) of an optimized crystal structure of Co5Pb.

Unit cell a=4.8199 b=4.8199 c=4.8199 alpha=60.00 beta=60.00 gamma=60.00
Last column: nearest neighbours and their distance in Å.
Fractional positions:
Co1 0.0000 0.0000 0.0000  12 Co 2.82, 4 Pb 2.95
Co2 0.1228 0.6257 0.6257  6 Co 2.40-2.42
Co3 0.6257 0.1228 0.6257  6 Co 2.40-2.42
Co4 0.6257 0.6257 0.1228  6 Co 2.40-2.42
Co5 0.6257 0.6257 0.6257  6 Co 2.40-2.42
Pb1 0.2500 0.2500 0.2500  16 Co 2.83-2.95

SG: No. 216
energy of formation from the pure elements: 2.296 eV per formula unit

=====

The following is a DFT calculation (PBE-GGA) of an optimized crystal structure of TbErHgIr.

Unit cell a=7.1062 b=7.1062 c=7.1062 alpha=90.00 beta=90.00 gamma=90.00
Last column: nearest neighbours and their distance in Å.
Fractional positions:
Tb1 0.0000 0.0000 0.0000  4 Hg 3.08, 4 Ir 3.08
Tb2 0.0000 0.5000 0.5000  4 Hg 3.08, 4 Ir 3.08
Tb3 0.5000 0.0000 0.5000  4 Hg 3.08, 4 Ir 3.08
Tb4 0.5000 0.5000 0.0000  4 Hg 3.08, 4 Ir 3.08
Er1 0.0000 0.0000 0.5000  4 Hg 3.08, 4 Ir 3.08
Er2 0.0000 0.5000 0.0000  4 Hg 3.08, 4 Ir 3.08
Er3 0.5000 0.0000 0.0000  4 Hg 3.08, 4 Ir 3.08
Er4 0.5000 0.5000 0.5000  4 Hg 3.08, 4 Ir 3.08
Hg1 0.2500 0.2500 0.7500  4 Tb 3.08, 4 Er 3.08
Hg2 0.2500 0.7500 0.2500  4 Tb 3.08, 4 Er 3.08
Hg3 0.7500 0.2500 0.2500  4 Tb 3.08, 4 Er 3.08
Hg4 0.7500 0.7500 0.7500  4 Tb 3.08, 4 Er 3.08
Ir1 0.2500 0.2500 0.2500  4 Tb 3.08, 4 Er 3.08
Ir2 0.2500 0.7500 0.7500  4 Er 3.08, 4 Tb 3.08
Ir3 0.7500 0.2500 0.7500  4 Er 3.08, 4 Tb 3.08
Ir4 0.7500 0.7500 0.2500  4 Er 3.08, 4 Tb 3.08

SG: No. 216
energy of formation from the pure elements: -2.515 eV per formula unit

=====

The following is a DFT calculation (PBE-GGA) of an optimized crystal structure of Pr5YHo2.

Unit cell a=9.1907 b=9.1907 c=9.1907 alpha=119.10 beta=119.10 gamma=91.57
Last column: nearest neighbours and their distance in Å.
Fractional positions:
Pr1 0.0000 0.0000 0.0000  2 Y 3.20, 4 Ho 3.57
Pr2 0.0141 0.5141 0.2007  3 Ho 3.41-3.46, 3 Pr 3.45-3.56, 2 Y 3.72
Pr3 0.1867 0.9859 0.5000  3 Ho 3.41-3.46, 3 Pr 3.45-3.56, 2 Y 3.72
Pr4 0.3133 0.8133 0.7993  3 Ho 3.41-3.46, 3 Pr 3.45-3.56, 2 Y 3.72
Pr5 0.4859 0.6867 0.5000  3 Ho 3.41-3.46, 3 Pr 3.45-3.56, 2 Y 3.72
Pr6 0.5000 0.5000 0.0000  2 Y 3.20, 4 Ho 3.57
Pr7 0.5141 0.3133 0.5000  3 Ho 3.41-3.46, 3 Pr 3.45-3.56, 2 Y 3.72
Pr8 0.6867 0.1867 0.2007  3 Ho 3.41-3.46, 3 Pr 3.45-3.56, 2 Y 3.72
Pr9 0.8133 0.0141 0.5000  3 Ho 3.41-3.46, 3 Pr 3.45-3.56, 2 Y 3.72
Pr10 0.9859 0.4859 0.7993  3 Ho 3.41-3.46, 3 Pr 3.45-3.56, 2 Y 3.72
Y1 0.2500 0.2500 0.0000  2 Pr 3.20
Y2 0.7500 0.7500 0.0000  2 Pr 3.20
Ho1 0.1460 0.3540 0.5000  8 Pr 3.41-3.57
Ho2 0.3540 0.8540 0.2080  8 Pr 3.41-3.57
Ho3 0.6460 0.1460 0.7920  8 Pr 3.41-3.57
Ho4 0.8540 0.6460 0.5000  8 Pr 3.41-3.57

SG: No. 140
energy of formation from the pure elements: 0.922 eV per formula unit

=====

The following is a DFT calculation (PBE-GGA) of an optimized crystal structure of NaNi2Pb2.

Unit cell a=3.5329 b=3.5329 c=17.7786 alpha=90.00 beta=90.00 gamma=90.00
Last column: nearest neighbours and their distance in Å.
Fractional positions:
Na1 0.0000 0.0000 0.0000  8 Pb 3.46, 4 Na 3.53
Na2 0.5000 0.5000 0.5000  8 Pb 3.46, 4 Na 3.53
Ni1 0.0000 0.5000 0.2500  4 Ni 2.50, 4 Pb 2.70
Ni2 0.0000 0.5000 0.7500  4 Ni 2.50, 4 Pb 2.70
Ni3 0.5000 0.0000 0.2500  4 Ni 2.50, 4 Pb 2.70
Ni4 0.5000 0.0000 0.7500  4 Ni 2.50, 4 Pb 2.70
Pb1 0.0000 0.0000 0.3652  4 Ni 2.70
Pb2 0.0000 0.0000 0.6348  4 Ni 2.70
Pb3 0.5000 0.5000 0.1348  4 Ni 2.70
Pb4 0.5000 0.5000 0.8652  4 Ni 2.70

SG: No. 139
energy of formation from the pure elements: 0.387 eV per formula unit

=====

The following is a DFT calculation (PBE-GGA) of an optimized crystal structure of Dy5InAu2.

Unit cell a=8.7161 b=8.7161 c=8.7161 alpha=124.81 beta=124.81 gamma=81.85
Last column: nearest neighbours and their distance in Å.
Fractional positions:
Dy1 0.0000 0.0000 0.0000  4 Au 3.14, 2 In 3.29
Dy2 0.0129 0.5129 0.8133  3 Au 3.03, 2 In 3.35
Dy3 0.1995 0.0129 0.5000  3 Au 3.03, 2 In 3.35
Dy4 0.3005 0.8005 0.8133  3 Au 3.03, 2 In 3.35
Dy5 0.4871 0.3005 0.5000  3 Au 3.03, 2 In 3.35
Dy6 0.5000 0.5000 0.0000  4 Au 3.14, 2 In 3.29
Dy7 0.5129 0.6995 0.5000  3 Au 3.03, 2 In 3.35
Dy8 0.6995 0.1995 0.1867  3 Au 3.03, 2 In 3.35
Dy9 0.8005 0.9871 0.5000  3 Au 3.03, 2 In 3.35
Dy10 0.9871 0.4871 0.1867  3 Au 3.03, 2 In 3.35
In1 0.2500 0.2500 0.0000  10 Dy 3.29-3.35
In2 0.7500 0.7500 0.0000  10 Dy 3.29-3.35
Au1 0.1359 0.3641 0.5000  8 Dy 3.03-3.14, 1 Au 3.10
Au2 0.3641 0.8641 0.2282  8 Dy 3.03-3.14, 1 Au 3.10
Au3 0.6359 0.1359 0.7718  8 Dy 3.03-3.14, 1 Au 3.10
Au4 0.8641 0.6359 0.5000  8 Dy 3.03-3.14, 1 Au 3.10

SG: No. 140
energy of formation from the pure elements: -4.564 eV per formula unit

=====

The following is a DFT calculation (PBE-GGA) of an optimized crystal structure of Ca3PmAl8.

Unit cell a=5.6767 b=5.6767 c=9.2029 alpha=90.00 beta=90.00 gamma=120.00
Last column: nearest neighbours and their distance in Å.
Fractional positions:
Ca1 0.0000 0.0000 0.0000  12 Al 3.31-3.33, 4 Ca 3.37-3.50
Ca2 0.0000 0.0000 0.3663  12 Al 3.29-3.34, 1 Ca 3.37, 3 Pm 3.50
Ca3 0.3333 0.6667 0.8681  12 Al 3.31-3.34, 1 Pm 3.38, 3 Ca 3.50
Pm1 0.3333 0.6667 0.5011  12 Al 3.29-3.33, 4 Ca 3.38-3.50
Al1 0.0085 0.5042 0.1849  6 Al 2.77-2.91
Al2 0.3258 0.1629 0.6824  6 Al 2.77-2.90
Al3 0.4958 0.5042 0.1849  6 Al 2.77-2.91
Al4 0.4958 0.9915 0.1849  6 Al 2.77-2.91
Al5 0.6667 0.3333 0.4346  6 Al 2.83-2.85
Al6 0.6667 0.3333 0.9363  6 Al 2.84-2.88
Al7 0.8371 0.1629 0.6824  6 Al 2.77-2.90
Al8 0.8371 0.6742 0.6824  6 Al 2.77-2.90

SG: No. 156
energy of formation from the pure elements: -4.343 eV per formula unit